VASP calculation (PBE) on a relaxed UAlIn crystal.

Calculated values
Calculated density = 9.7 Mg/m³
V = 21.770 Å³/atom
Formation enthalpy at 0 K = 0.05 eV/atom

a b c (Å): 5.0498 5.0498 2.9573
angles (deg): 90.00 90.00 120.00
With the nearest neighbours (Å) after each atom.
Atoms (fractional coordinates):
U 0.0000 0.0000 0.0000  2 U 2.96, 6 In 3.27, 6 Al 3.27
Al 0.3333 0.6667 0.5000  3 In 2.92, 2 Al 2.96
In 0.6667 0.3333 0.5000  3 Al 2.92, 2 In 2.96

=====

VASP calculation (PBE) on a relaxed ScHPd3 crystal.

Calculated values
Distance to the lowest polymorph of the same formula = 607.2 meV per atom
Calculated density = 6.5 Mg/m³
V = 18.639 Å³/atom

a b c (Å): 3.8817 3.8817 6.1851
angles (deg): 90.00 90.00 90.00
With the nearest neighbours (Å) after each atom.
Atoms (fractional coordinates):
Sc 0.0000 0.0000 0.0000  1 Pd 2.34
H 0.5000 0.5000 0.2916  4 Pd 1.94
Pd 0.0000 0.0000 0.6223  1 Sc 2.34
Pd 0.0000 0.5000 0.2985  2 H 1.94
Pd 0.5000 0.0000 0.2985  2 H 1.94

=====

VASP calculation (PBE) on a relaxed ZrP2Se crystal.

Calculated values
Calculated density = 5.6 Mg/m³
V = 17.361 Å³/atom
Formation energy from raw total energies = -0.235 eV per atom

a b c (Å): 3.5361 4.2438 9.2550
angles (deg): 90.00 90.00 90.00
With the nearest neighbours (Å) after each atom.
Atoms (fractional coordinates):
Zr 0.0000 0.0000 0.0000  4 Se 2.76, 4 P 2.90
Zr 0.5000 0.5000 0.5000  4 Se 2.76, 4 P 2.90
P 0.0000 0.5000 0.2521  4 P 2.76, 2 Zr 2.90, 2 Se 2.93
P 0.0000 0.5000 0.7479  4 P 2.76, 2 Zr 2.90, 2 Se 2.93
P 0.5000 0.0000 0.2479  4 P 2.76, 2 Zr 2.90, 2 Se 2.93
P 0.5000 0.0000 0.7521  4 P 2.76, 2 Zr 2.90, 2 Se 2.93
Se 0.0000 0.0000 0.5000  4 Zr 2.76, 4 P 2.93
Se 0.5000 0.5000 0.0000  4 Zr 2.76, 4 P 2.93

=====

VASP calculation (PBE) on a relaxed KRuPb2Cl crystal.

Calculated values
Calculated density = 5.9 Mg/m³
V = 33.175 Å³/atom
Formation energy from raw total energies = -0.105 eV per atom

a b c (Å): 5.1391 5.1391 6.2807
angles (deg): 90.00 90.00 90.00
With the nearest neighbours (Å) after each atom.
Atoms (fractional coordinates):
K 0.0000 0.0000 0.0000  2 Ru 3.14
Ru 0.0000 0.0000 0.5000  4 Pb 2.57
Pb 0.0000 0.5000 0.5000  2 Ru 2.57
Pb 0.5000 0.0000 0.5000  2 Ru 2.57
Cl 0.5000 0.5000 0.0000  4 K 3.63, 8 Pb 4.06

=====

VASP calculation (PBE) on a relaxed Zr2MoAs crystal.

Calculated values
Calculated density = 7.5 Mg/m³
V = 19.504 Å³/atom
Formation enthalpy at 0 K = -0.10 eV/atom

a b c (Å): 3.5713 5.0852 8.5917
angles (deg): 90.00 90.00 90.00
With the nearest neighbours (Å) after each atom.
Atoms (fractional coordinates):
Zr 0.0000 0.0000 0.0000  2 As 2.70
Zr 0.0000 0.5000 0.3017  2 Mo 2.79, 4 Zr 3.11
Zr 0.5000 0.0000 0.3017  2 Mo 2.79, 4 Zr 3.11
Zr 0.5000 0.5000 0.0000  2 As 2.70
Mo 0.0000 0.0000 0.5513  2 As 2.56, 2 Zr 2.79
Mo 0.5000 0.5000 0.5513  2 As 2.56, 2 Zr 2.79
As 0.0000 0.5000 0.7643  2 Mo 2.56, 2 Zr 2.70
As 0.5000 0.0000 0.7643  2 Mo 2.56, 2 Zr 2.70

=====

VASP calculation (PBE) on a relaxed CaPrS2 crystal.

Calculated values
Distance to the lowest polymorph of the same formula = 56.8 meV per atom
Calculated density = 4.2 Mg/m³
V = 24.065 Å³/atom
Formation energy from raw total energies = -1.997 eV per atom

a b c (Å): 4.0090 4.0090 13.8317
angles (deg): 90.00 90.00 120.00
With the nearest neighbours (Å) after each atom.
Atoms (fractional coordinates):
Ca 0.3333 0.6667 0.2500  6 S 2.88
Ca 0.6667 0.3333 0.7500  6 S 2.88
Pr 0.0000 0.0000 0.0000  6 S 2.90
Pr 0.0000 0.0000 0.5000  6 S 2.90
S 0.3333 0.6667 0.6262  3 Ca 2.88, 3 Pr 2.90
S 0.3333 0.6667 0.8738  3 Ca 2.88, 3 Pr 2.90
S 0.6667 0.3333 0.1262  3 Ca 2.88, 3 Pr 2.90
S 0.6667 0.3333 0.3738  3 Ca 2.88, 3 Pr 2.90

=====

VASP calculation (PBE) on a relaxed ZnCo3Te crystal.

Calculated values
Distance to the lowest polymorph of the same formula = 0.0 meV per atom
Calculated density = 7.3 Mg/m³
V = 16.916 Å³/atom
Formation energy from raw total energies = 0.977 eV per atom

a b c (Å): 4.3896 4.3896 4.3896
angles (deg): 90.00 90.00 90.00
With the nearest neighbours (Å) after each atom.
Atoms (fractional coordinates):
Zn 0.0000 0.0000 0.0000  6 Co 2.19
Co 0.0000 0.0000 0.5000  2 Zn 2.19
Co 0.0000 0.5000 0.0000  2 Zn 2.19
Co 0.5000 0.0000 0.0000  2 Zn 2.19
Te 0.5000 0.5000 0.5000  12 Co 3.10

=====

VASP calculation (PBE) on a relaxed Y4Tm3Sc crystal.

Calculated values
Distance to the lowest polymorph of the same formula = 29.2 meV per atom
Calculated density = 6.2 Mg/m³
V = 30.422 Å³/atom
Formation enthalpy at 0 K = 0.04 eV/atom

a b c (Å): 22.9588 3.5056 6.0711
angles (deg): 90.00 95.02 90.00
With the nearest neighbours (Å) after each atom.
Atoms (fractional coordinates):
Y 0.1213 0.0000 0.3759  2 Sc 3.43, 5 Tm 3.44-3.52, 5 Y 3.51-3.59
Y 0.2493 0.0000 0.7504  9 Y 3.50-3.59, 3 Tm 3.54-3.56
Y 0.2507 0.5000 0.2496  9 Y 3.50-3.59, 3 Tm 3.54-3.56
Y 0.3787 0.5000 0.6241  2 Sc 3.43, 5 Tm 3.44-3.52, 5 Y 3.51-3.59
Y 0.6213 0.5000 0.3759  2 Sc 3.43, 5 Tm 3.44-3.52, 5 Y 3.51-3.59
Y 0.7493 0.5000 0.7504  9 Y 3.50-3.59, 3 Tm 3.54-3.56
Y 0.7507 0.0000 0.2496  9 Y 3.50-3.59, 3 Tm 3.54-3.56
Y 0.8787 0.0000 0.6241  2 Sc 3.43, 5 Tm 3.44-3.52, 5 Y 3.51-3.59
Tm 0.0000 0.0000 0.0000  2 Y 3.44, 6 Tm 3.46-3.51, 4 Sc 3.51
Tm 0.1225 0.5000 0.8741  4 Tm 3.46-3.51, 1 Sc 3.46, 7 Y 3.49-3.56
Tm 0.3775 0.0000 0.1259  4 Tm 3.46-3.51, 1 Sc 3.46, 7 Y 3.49-3.56
Tm 0.5000 0.5000 0.0000  2 Y 3.44, 6 Tm 3.46-3.51, 4 Sc 3.51
Tm 0.6225 0.0000 0.8741  4 Tm 3.46-3.51, 1 Sc 3.46, 7 Y 3.49-3.56
Tm 0.8775 0.5000 0.1259  4 Tm 3.46-3.51, 1 Sc 3.46, 7 Y 3.49-3.56
Sc 0.0000 0.5000 0.5000  4 Y 3.43, 6 Tm 3.46-3.51, 2 Sc 3.51
Sc 0.5000 0.0000 0.5000  4 Y 3.43, 6 Tm 3.46-3.51, 2 Sc 3.51

=====

> Which formula does entry 2 have?

ScHPd3

=====

> Which of these has the lowest V?

ZnCo3Te